Entry 1:
80
Lattice="16.129 0.000 0.000 -5.376 15.206 0.000 -5.376 -7.603 13.169" Properties=species:S:1:pos:R:3 comment="Cs3Pb5Cl12 | Alexandria | PBE-GGA | relaxed" e_form_raw_kj_per_mol_atoms=-125.3 sg="Ia-3d, No. 230" pbc="T T T"
Cs 9.408 4.752 1.646
Cs 9.408 10.454 1.646
Cs -1.344 6.653 8.231
Cs 1.344 -0.950 4.938
Cs 12.097 0.000 3.292
Cs 1.344 7.603 3.292
Cs 4.032 0.000 9.877
Cs -6.720 7.603 9.877
Cs 4.032 8.554 8.231
Cs 6.720 0.950 4.938
Cs -4.032 -2.851 11.523
Cs -4.032 2.851 11.523
Pb -1.344 3.802 3.292
Pb -2.688 7.603 0.000
Pb 0.000 0.000 0.000
Pb 4.032 2.851 1.646
Pb 5.376 -3.802 6.585
Pb 5.376 7.603 0.000
Pb -4.032 8.554 4.938
Pb 6.720 -4.752 11.523
Pb 6.720 6.653 4.938
Pb 1.344 -3.802 9.877
Pb 4.032 11.405 3.292
Pb 2.688 3.802 6.585
Pb 8.064 0.000 0.000
Pb -2.688 -3.802 6.585
Pb -1.344 0.950 8.231
Pb -1.344 12.355 1.646
Pb -5.376 3.802 6.585
Pb 9.408 -0.950 8.231
Pb 1.344 4.752 11.523
Pb 6.720 3.802 9.877
Cl 10.535 1.570 0.327
Cl 0.217 4.870 5.388
Cl 12.049 3.563 3.950
Cl 6.768 2.162 1.523
Cl 2.031 5.511 8.892
Cl 11.610 7.652 2.307
Cl -1.297 9.004 5.474
Cl -4.080 13.044 1.523
Cl 0.657 9.695 8.892
Cl 7.207 7.554 2.307
Cl 8.282 4.303 5.061
Cl 8.282 13.636 0.327
Cl -4.720 6.654 6.912
Cl 3.545 5.580 1.111
Cl -5.594 10.903 5.061
Cl 2.905 -2.733 7.781
Cl -0.657 1.143 2.634
Cl 3.545 9.577 1.196
Cl 6.768 11.643 3.950
Cl -0.857 5.630 1.196
Cl -3.345 8.746 10.535
Cl 3.985 6.202 5.474
Cl 7.408 8.552 6.912
Cl 6.234 -2.023 12.058
Cl 1.391 1.401 7.695
Cl -2.031 -0.949 6.257
Cl -0.857 9.626 1.111
Cl -1.391 -4.040 9.219
Cl 8.721 -1.143 2.634
Cl 6.234 1.973 11.973
Cl 1.831 -1.973 11.973
Cl 2.471 10.336 5.388
Cl 6.033 6.460 10.535
Cl 10.970 -3.300 8.108
Cl 10.096 0.949 6.257
Cl -2.905 -6.033 12.842
Cl 1.831 2.023 12.058
Cl 4.720 -2.092 4.277
Cl -1.831 0.049 10.862
Cl -2.905 3.300 8.108
Cl 9.456 -5.441 11.646
Cl 6.673 -1.401 7.695
Cl -1.391 5.441 11.646
Cl -6.234 -0.049 10.862
Cl 3.345 2.092 4.277
Cl -6.673 4.040 9.219
Cl 5.159 2.733 7.781
Cl -5.159 6.033 12.842

=====

Entry 2:
3
Lattice="-1.285 2.493 5.424 -1.619 -0.463 5.870 2.614 -0.071 1.486" Properties=species:S:1:pos:R:3 comment="CrHgPt | Alexandria | PBE-GGA | relaxed" sg="I4mm, No. 107" ef_mev_per_atom=124.9 de_polymorph_ev_per_atom=0.013 pbc="T T T"
Cr 2.538 -0.043 1.620
Hg 0.759 0.635 4.783
Pt -0.973 1.295 7.862

=====

Entry 3:
4
Lattice="-0.041 -2.502 -2.051 2.390 -2.180 0.059 -4.640 -7.313 6.460" Properties=species:S:1:pos:R:3 comment="Ho2ZrOs | Alexandria | PBE-GGA | relaxed" sg="R-3m, No. 166" ef_mev_per_atom=346.3 pbc="T T T"
Os -1.145 -5.998 2.234
Ho -3.009 -5.584 4.318
Ho 0.719 -6.412 0.150
Zr 0.000 0.000 0.000

=====

Entry 4:
10
Lattice="-3.727 -3.186 -3.677 4.410 -4.169 -0.859 -1.666 -2.568 3.913" Properties=species:S:1:pos:R:3 comment="Na2CoAs2 | Alexandria | PBE-GGA | relaxed" sg="P4/mbm, No. 127" ef_mev_per_atom=-306.0 pbc="T T T"
Na 1.493 -4.668 0.725
Na 0.275 -6.872 -1.239
Na -2.476 -5.254 -1.348
Na -1.258 -3.051 0.616
As 2.447 -4.689 -2.036
As -0.336 -5.413 -3.696
As -1.764 -2.665 -2.500
As 1.018 -1.941 -0.840
Co 0.000 0.000 0.000
Co 0.341 -3.677 -2.268

=====

Entry 5:
14
Lattice="-3.051 2.482 4.113 -3.119 -3.306 3.617 1.896 -0.235 5.486" Properties=species:S:1:pos:R:3 comment="LiScSiO4 | Alexandria | PBE-GGA | relaxed" e_form_raw_kj_per_mol_atoms=-276.0 sg="Imma, No. 74" de_polymorph_ev_per_atom=0.114 pbc="T T T"
Li -0.578 1.123 4.799
Li 0.948 -0.117 2.743
Sc 0.000 0.000 0.000
Sc -0.611 -1.770 4.552
Si -3.623 -0.532 5.507
Si -0.651 -0.527 7.709
O -3.054 -0.765 10.007
O -1.561 -1.898 7.861
O -2.713 0.840 5.355
O -1.220 -0.294 3.209
O -2.661 -1.880 5.138
O -4.130 -0.685 7.119
O -0.144 -0.374 6.097
O -1.614 0.821 8.077

=====

Entry 6:
6
Lattice="-3.288 -2.561 3.282 1.428 -4.622 -2.176 4.788 3.132 2.954" Properties=species:S:1:pos:R:3 comment="PmCd2GaPd2 | Alexandria | PBE-GGA | relaxed" sg="I4/mmm, No. 139" ef_mev_per_atom=-223.0 pbc="T T T"
Pm -0.930 -3.592 0.553
Cd 2.643 -2.541 0.666
Cd 0.285 -1.510 3.395
Ga 0.000 0.000 0.000
Pd 1.169 -3.841 2.461
Pd 1.760 -0.209 1.600

=====

Entry 7:
5
Lattice="3.988 0.000 0.000 0.000 3.988 0.000 1.994 1.994 9.325" Properties=species:S:1:pos:R:3 comment="Ba2PdAu2 | Alexandria | PBE-GGA | relaxed" sg="I4/mmm, No. 139" ef_mev_per_atom=-464.2 de_polymorph_ev_per_atom=0.211 pbc="T T T"
Au 3.988 1.994 4.663
Au 1.994 3.988 4.663
Ba 1.994 1.994 1.909
Ba 3.988 3.988 7.416
Pd 0.000 0.000 0.000

=====

Entry 8:
13
Lattice="4.876 0.000 0.000 0.000 4.876 0.000 0.000 0.000 4.876" Properties=species:S:1:pos:R:3 comment="TaTi4H8 | Alexandria | PBE-GGA | relaxed" e_tot_ev_per_cell=-69.5 sg="Pm-3m, No. 221" pbc="T T T"
Ta 2.438 2.438 2.438
Ti 0.000 2.438 2.438
Ti 0.000 0.000 0.000
Ti 2.438 2.438 0.000
Ti 2.438 0.000 2.438
H 1.197 3.678 3.678
H 3.678 1.197 3.678
H 3.678 3.678 1.197
H 1.197 1.197 1.197
H 1.197 3.678 1.197
H 3.678 1.197 1.197
H 3.678 3.678 3.678
H 1.197 1.197 3.678

=====

| no. | total magnetization (μB per formula unit) | DOS(E_F) (states/eV per atom) | ρ (g cm⁻³) |
| --- | --- | --- | --- |
| 1 | 0.001 | 0.4044 | 3.8 |
| 2 | 3.435 | 1.3543 | 14.4 |
| 3 | 0.000 | 1.1523 | 10.5 |
| 4 | 0.000 | 0.5171 | 4.5 |
| 5 | 0.000 | 0.0000 | 3.4 |
| 6 | 0.000 | 0.4967 | 7.4 |
| 7 | 0.000 | 0.3279 | 8.7 |
| 8 | 0.000 | 0.5243 | 5.5 |